i:
Compound: SnHF2
Source: Alexandria via LeMat-Bulk
Functional: GGA-PBE
Structure: relaxed

a = 5.1932 Å, b = 5.1932 Å, c = 5.1932 Å
α = 124.21°, β = 124.21°, γ = 82.86°
Closest atoms and distances in Å follow each position.
Fractional positions:
Sn 0.0000 0.0000 0.0000  12 F 2.88-3.16, 4 Sn 3.11, 4 H 3.11
Sn 0.7500 0.2500 0.5000  12 F 2.88-3.16, 4 Sn 3.11, 4 H 3.11
H 0.2500 0.7500 0.5000  4 F 1.56
H 0.5000 0.5000 0.0000  4 F 1.56
F 0.3730 0.1250 0.7480  2 H 1.56
F 0.3750 0.6270 0.7520  2 H 1.56
F 0.3770 0.6250 0.2520  2 H 1.56
F 0.8750 0.6230 0.2480  2 H 1.56

Properties
Fermi-level density of states: 0.199 states/eV/atom
Crystal system: tetragonal
Density: 5.7 g cm⁻³

ii:
Compound: SnHF2
Source: Alexandria via LeMat-Bulk
Functional: GGA-PBE
Structure: relaxed

a = 5.0585 Å, b = 5.0691 Å, c = 5.4802 Å
α = 94.65°, β = 94.62°, γ = 112.01°
Closest atoms and distances in Å follow each position.
Fractional positions:
Sn 0.0000 0.0000 0.0000  2 H 1.74
Sn 0.2718 0.7284 0.4998  4 F 2.27-2.28, 2 H 2.40
H 0.1023 0.3268 0.1833  1 Sn 1.74
H 0.6730 0.8979 0.8160  1 Sn 1.74
F 0.0017 0.6104 0.8186  2 Sn 2.14-2.28
F 0.2540 0.1285 0.7037  2 Sn 2.14-2.27
F 0.3904 0.9986 0.1819  2 Sn 2.14-2.28
F 0.8708 0.7466 0.2962  2 Sn 2.14-2.27

Properties
Fermi-level density of states: 0.000 states/eV/atom
Crystal system: triclinic
Density: 4.1 g cm⁻³

iii:
Compound: SnHF2
Source: Alexandria via LeMat-Bulk
Functional: GGA-PBE
Structure: relaxed

a = 6.5213 Å, b = 6.5213 Å, c = 6.5213 Å
α = 26.94°, β = 26.94°, γ = 26.94°
Closest atoms and distances in Å follow each position.
Fractional positions:
Sn 0.0000 0.0000 0.0000  2 F 2.22
H 0.5000 0.5000 0.5000  6 F 1.98
F 0.1177 0.1177 0.1177  3 H 1.98, 1 Sn 2.22
F 0.8823 0.8823 0.8823  3 H 1.98, 1 Sn 2.22

Properties
Fermi-level density of states: 0.145 states/eV/atom
Crystal system: trigonal
Density: 5.2 g cm⁻³

Winner for stability: ii

i:
Compound: SnHF
Source: Alexandria via LeMat-Bulk
Functional: GGA-PBE
Structure: relaxed

a = 4.8668 Å, b = 4.8668 Å, c = 4.8668 Å
α = 140.43°, β = 140.43°, γ = 57.20°
Closest atoms and distances in Å follow each position.
Fractional positions:
Sn 0.0000 0.0000 0.0000  1 F 2.06
H 0.4677 0.4677 0.0000  4 Sn 2.35, 1 F 2.49
F 0.7589 0.7589 0.0000  1 Sn 2.06

Properties
Fermi-level density of states: 0.163 states/eV/atom
Crystal system: tetragonal
Density: 5.0 g cm⁻³

ii:
Compound: SnHF
Source: Alexandria via LeMat-Bulk
Functional: GGA-PBE
Structure: relaxed

a = 4.6170 Å, b = 4.6170 Å, c = 7.0249 Å
α = 90.00°, β = 90.00°, γ = 120.00°
Closest atoms and distances in Å follow each position.
Fractional positions:
Sn 0.0117 0.5058 0.0000  1 H 1.90
Sn 0.4942 0.5058 0.6667  1 H 1.90
Sn 0.4942 0.9883 0.3333  1 H 1.90
H 0.2563 0.5126 0.3333  1 Sn 1.90
H 0.2563 0.7437 0.6667  1 Sn 1.90
H 0.4874 0.7437 0.0000  1 Sn 1.90
F 0.1960 0.0980 0.0000  2 Sn 2.42, 2 H 2.59, 2 F 2.71
F 0.9020 0.0980 0.6667  2 Sn 2.42, 2 H 2.59, 2 F 2.71
F 0.9020 0.8040 0.3333  2 Sn 2.42, 2 H 2.59, 2 F 2.71

Properties
Crystal system: trigonal
Density: 5.3 g cm⁻³

Winner for stability: ii

i:
Compound: Sn2HF
Source: Alexandria via LeMat-Bulk
Functional: GGA-PBE
Structure: relaxed

a = 4.5862 Å, b = 4.5862 Å, c = 4.5862 Å
α = 60.00°, β = 60.00°, γ = 60.00°
Closest atoms and distances in Å follow each position.
Fractional positions:
Sn 0.2500 0.2500 0.2500  4 H 2.81, 4 F 2.81
Sn 0.7500 0.7500 0.7500  4 H 2.81, 4 F 2.81
H 0.0000 0.0000 0.0000  8 Sn 2.81
F 0.5000 0.5000 0.5000  8 Sn 2.81

Properties
Fermi-level density of states: 0.572 states/eV/atom
Crystal system: cubic
Density: 6.3 g cm⁻³

ii:
Compound: Sn2HF
Source: Alexandria via LeMat-Bulk
Functional: GGA-PBE
Structure: relaxed

a = 6.8553 Å, b = 6.8553 Å, c = 6.8553 Å
α = 134.40°, β = 134.40°, γ = 66.47°
Closest atoms and distances in Å follow each position.
Fractional positions:
Sn 0.0679 0.6250 0.9429  2 H 2.21
Sn 0.3750 0.3179 0.4429  2 H 2.21
Sn 0.6821 0.1250 0.0571  2 H 2.21
Sn 0.8750 0.9321 0.5571  2 H 2.21
H 0.0000 0.0000 0.0000  4 Sn 2.21
H 0.7500 0.2500 0.5000  4 Sn 2.21
F 0.2500 0.7500 0.5000  4 Sn 2.55
F 0.5000 0.5000 0.0000  4 Sn 2.55

Properties
Fermi-level density of states: 0.113 states/eV/atom
Crystal system: tetragonal
Density: 5.3 g cm⁻³

Winner for stability: ii